First-principles (PBE) data for crystalline NpReSn at its relaxed geometry, as listed in the Open Quantum Materials Database.

Lattice parameters (Å, degrees): 6.608 6.608 6.608 90.00 90.00 90.00
Space group F-43m (No. 216)
One atom of each set of equivalent atoms:
Np  0.000  0.000  0.000 x4
Re  0.250  0.250  0.750 x4
Sn  0.250  0.250  0.250 x4

crystal system	cubic
total energy	-8.3843	eV/atom
calculated volume	24.04	Å³/atom

***

First-principles (PBE) data for crystalline AcAgAu at its relaxed geometry, as listed in the Open Quantum Materials Database.

Lattice parameters (Å, degrees): 7.063 7.063 7.063 90.00 90.00 90.00
Space group F-43m (No. 216)
One atom of each set of equivalent atoms:
Ac  0.000  0.000  0.000 x4
Ag  0.250  0.250  0.250 x4
Au  0.000  0.000  0.500 x4

formation enthalpy at 0 K	-357.7	meV per atom
crystal system	cubic
total energy	-3.7566	eV/atom
calculated volume	29.37	Å³/atom

***

First-principles (PBE) data for crystalline LiTlSnPt at its relaxed geometry, as listed in the Open Quantum Materials Database.

Lattice parameters (Å, degrees): 6.791 6.791 6.791 90.00 90.00 90.00
Space group F-43m (No. 216)
One atom of each set of equivalent atoms:
Li  0.000  0.000  0.000 x4
Tl  0.250  0.250  0.250 x4
Sn  0.250  0.250  0.750 x4
Pt  0.000  0.000  0.500 x4

crystal system	cubic
total energy	-3.8705	eV/atom
calculated volume	19.57	Å³/atom

***

First-principles (PBE) data for crystalline BaZrAu at its relaxed geometry, as listed in the Open Quantum Materials Database.

Lattice parameters (Å, degrees): 7.109 7.109 7.109 90.00 90.00 90.00
Space group F-43m (No. 216)
One atom of each set of equivalent atoms:
Ba  0.000  0.000  0.000 x4
Zr  0.250  0.250  0.250 x4
Au  0.250  0.250  0.750 x4

crystal system	cubic
total energy	-3.6181	eV/atom
calculated volume	29.94	Å³/atom

***

First-principles (PBE) data for crystalline HfBi at its relaxed geometry, as listed in the Open Quantum Materials Database.

Lattice parameters (Å, degrees): 4.2207 4.2207 13.5764 90.00 90.00 120.00
Space group P6_3/mmc (No. 194)
One atom of each set of equivalent atoms:
Hf  0.3333  0.6667  0.1204 x4
Bi  0.0000  0.0000  0.0000 x2
Bi  0.3333  0.6667  0.7500 x2

crystal system	hexagonal
total energy	-7.0222	eV/atom
calculated volume	26.18	Å³/atom

***

First-principles (PBE) data for crystalline GdNbTc at its relaxed geometry, as listed in the Open Quantum Materials Database.

Lattice parameters (Å, degrees): 6.426 6.426 6.426 90.00 90.00 90.00
Space group F-43m (No. 216)
One atom of each set of equivalent atoms:
Gd  0.000  0.000  0.000 x4
Nb  0.250  0.250  0.750 x4
Tc  0.250  0.250  0.250 x4

formation enthalpy at 0 K	1425.1	meV per atom
crystal system	cubic
total energy	-6.9445	eV/atom
calculated volume	22.12	Å³/atom

***

First-principles (PBE) data for crystalline Dy3Y4Ni2S2 at its relaxed geometry, as listed in the Open Quantum Materials Database.

Lattice parameters (Å, degrees): 3.769 14.824 9.175 90.00 90.00 90.00
Space group Imm2 (No. 44)
One atom of each set of equivalent atoms:
Dy  0.000  0.000  0.000 x2
Dy  0.000  0.315  0.608 x4
Y  0.000  0.118  0.402 x4
Y  0.000  0.366  0.246 x4
Ni  0.000  0.240  0.914 x4
S  0.000  0.000  0.655 x2
S  0.000  0.500  0.747 x2

crystal system	orthorhombic
total energy	-6.2162	eV/atom
calculated volume	23.30	Å³/atom

***

First-principles (PBE) data for crystalline CoSiW4 at its relaxed geometry, as listed in the Open Quantum Materials Database.

Lattice parameters (Å, degrees): 4.2591 4.2591 18.6479 90.00 90.00 120.00
Space group R-3m (No. 166, hexagonal axes)
One atom of each set of equivalent atoms:
Co  0.0000  0.0000  0.0000 x3
Si  0.0000  0.0000  0.5000 x3
W  0.0000  0.0000  0.1329 x6
W  0.0000  0.0000  0.3670 x6

crystal system	trigonal
total energy	-10.1178	eV/atom
calculated volume	16.28	Å³/atom

***

First-principles (PBE) data for crystalline NdTh3P at its relaxed geometry, as listed in the Open Quantum Materials Database.

Lattice parameters (Å, degrees): 5.515 5.515 5.515 90.00 90.00 90.00
Space group Pm-3m (No. 221)
One atom of each set of equivalent atoms:
Nd  0.000  0.000  0.000 x1
Th  0.000  0.500  0.500 x3
P  0.500  0.500  0.500 x1

crystal system	cubic
total energy	-6.8598	eV/atom
calculated volume	33.55	Å³/atom

***

First-principles (PBE) data for crystalline Ba2MgPtSe6 at its relaxed geometry, as listed in the Open Quantum Materials Database.

Lattice parameters (Å, degrees): 7.2580 7.2580 17.7420 90.00 90.00 120.00
Space group R-3m (No. 166, hexagonal axes)
One atom of each set of equivalent atoms:
Ba  0.0000  0.0000  0.2501 x6
Mg  0.0000  0.0000  0.0000 x3
Pt  0.0000  0.0000  0.5000 x3
Se  0.0081  0.5041  0.2480 x18

crystal system	trigonal
total energy	-4.1581	eV/atom
calculated volume	26.99	Å³/atom

***

First-principles (PBE) data for crystalline Bi2W at its relaxed geometry, as listed in the Open Quantum Materials Database.

Lattice parameters (Å, degrees): 3.361 3.361 13.417 90.00 90.00 90.00
Space group I4/mmm (No. 139)
One atom of each set of equivalent atoms:
Bi  0.000  0.000  0.133 x4
W  0.000  0.000  0.500 x2

crystal system	tetragonal
total energy	-6.3782	eV/atom
calculated volume	25.26	Å³/atom

***

First-principles (PBE) data for crystalline HoSnTe3Pb at its relaxed geometry, as listed in the Open Quantum Materials Database.

Lattice parameters (Å, degrees): 4.405 15.297 11.256 90.00 90.00 90.00
Space group Cmcm (No. 63)
One atom of each set of equivalent atoms:
Ho  0.000  0.000  0.000 x4
Sn  0.000  0.465  0.250 x4
Te  0.000  0.109  0.250 x4
Te  0.000  0.355  0.027 x8
Pb  0.000  0.233  0.750 x4

crystal system	orthorhombic
total energy	-4.1441	eV/atom
calculated volume	31.61	Å³/atom

***

First-principles (PBE) data for crystalline Sc4Tl3Mo2C3 at its relaxed geometry, as listed in the Open Quantum Materials Database.

Lattice parameters (Å, degrees): 9.862 5.730 14.935 90.00 102.93 90.00
Space group C2/c (No. 15)
One atom of each set of equivalent atoms:
Sc  0.112  0.073  0.085 x8
Sc  0.216  0.089  0.415 x8
Tl  0.000  0.107  0.750 x4
Tl  0.155  0.426  0.248 x8
Mo  0.066  0.412  0.932 x8
C  0.079  0.263  0.500 x8
C  0.250  0.250  0.000 x4

crystal system	monoclinic
total energy	-7.2265	eV/atom
calculated volume	17.14	Å³/atom

***

First-principles (PBE) data for crystalline Zn3O2F2 at its relaxed geometry, as listed in the Open Quantum Materials Database.

Lattice parameters (Å, degrees): 6.987 6.987 6.987 90.00 90.00 90.00
Space group I2_13 (No. 199)
One atom of each set of equivalent atoms:
Zn  0.000  0.250  0.347 x12
O  0.245  0.255  0.745 x8
F  0.003  0.003  0.003 x8

crystal system	cubic
total energy	-4.1682	eV/atom
calculated volume	12.18	Å³/atom

***

First-principles (PBE) data for crystalline InCu2As at its relaxed geometry, as listed in the Open Quantum Materials Database.

Lattice parameters (Å, degrees): 6.428 6.428 6.428 90.00 90.00 90.00
Space group Pm-3m (No. 221)
One atom of each set of equivalent atoms:
In  0.000  0.000  0.000 x1
In  0.000  0.000  0.500 x3
Cu  0.266  0.266  0.266 x8
As  0.000  0.500  0.500 x3
As  0.500  0.500  0.500 x1

crystal system	cubic
total energy	-3.5063	eV/atom
calculated volume	16.60	Å³/atom

***

First-principles (PBE) data for crystalline TaAgPd2 at its relaxed geometry, as listed in the Open Quantum Materials Database.

Lattice parameters (Å, degrees): 6.366 6.366 6.366 90.00 90.00 90.00
Space group F-43m (No. 216)
One atom of each set of equivalent atoms:
Ta  0.000  0.000  0.000 x4
Ag  0.250  0.250  0.250 x4
Pd  0.000  0.000  0.500 x4
Pd  0.250  0.250  0.750 x4

formation enthalpy at 0 K	37.3	meV per atom
crystal system	cubic
total energy	-6.2195	eV/atom
calculated volume	16.13	Å³/atom

***

First-principles (PBE) data for crystalline Sc4Tl2In3Ni2 at its relaxed geometry, as listed in the Open Quantum Materials Database.

Lattice parameters (Å, degrees): 7.532 3.341 9.226 90.00 94.80 90.00
Space group P2/m (No. 10)
One atom of each set of equivalent atoms:
Sc  0.185  0.000  0.341 x2
Sc  0.199  0.000  0.936 x2
Tl  0.457  0.500  0.167 x2
In  0.151  0.500  0.640 x2
In  0.500  0.500  0.500 x1
Ni  0.069  0.500  0.132 x2

crystal system	monoclinic
total energy	-4.8928	eV/atom
calculated volume	21.03	Å³/atom

***

First-principles (PBE) data for crystalline HoCuGeS3 at its relaxed geometry, as listed in the Open Quantum Materials Database.

Lattice parameters (Å, degrees): 3.765 12.456 10.131 90.00 90.00 90.00
Space group Cmcm (No. 63)
One atom of each set of equivalent atoms:
Ho  0.000  0.000  0.000 x4
Cu  0.000  0.473  0.250 x4
Ge  0.000  0.235  0.750 x4
S  0.000  0.089  0.250 x4
S  0.000  0.354  0.074 x8

crystal system	orthorhombic
total energy	-5.1310	eV/atom
calculated volume	19.80	Å³/atom

***

First-principles (PBE) data for crystalline PrSmSbI2 at its relaxed geometry, as listed in the Open Quantum Materials Database.

Lattice parameters (Å, degrees): 4.4572 4.4572 11.5069 90.00 90.00 120.00
Space group P3m1 (No. 156)
One atom of each set of equivalent atoms:
Pr  0.0000  0.0000  0.0000 x1
Sm  0.6667  0.3333  0.6951 x1
Sb  0.3333  0.6667  0.8432 x1
I  0.0000  0.0000  0.5247 x1
I  0.6667  0.3333  0.1764 x1

crystal system	trigonal
total energy	-4.6701	eV/atom
calculated volume	39.60	Å³/atom

***

First-principles (PBE) data for crystalline CsInMo at its relaxed geometry, as listed in the Open Quantum Materials Database.

Lattice parameters (Å, degrees): 8.171 8.171 8.171 90.00 90.00 90.00
Space group F-43m (No. 216)
One atom of each set of equivalent atoms:
Cs  0.000  0.000  0.000 x4
In  0.250  0.250  0.750 x4
Mo  0.250  0.250  0.250 x4

crystal system	cubic
total energy	-2.8303	eV/atom
calculated volume	45.46	Å³/atom